No. 1
First-principles (GGA-PBE) data for crystalline LiTl2H6Pt at its relaxed geometry, as listed in the Open Quantum Materials Database.

For the calculated total energy, the calculation gives -131.0 eV/cell.

Lattice parameters (Å, degrees): 8.0487 8.0487 8.0487 90.00 90.00 90.00
Space group Fm-3m (No. 225)
Symmetry-distinct sites (fractional):
Li1 0.0000 0.0000 0.0000 (multiplicity 4)
Tl1 0.2500 0.2500 0.2500 (multiplicity 8)
H1 0.0000 0.0000 0.2891 (multiplicity 24)
Pt1 0.0000 0.0000 0.5000 (multiplicity 4)

---

No. 2
First-principles (GGA-PBE) data for crystalline SmTcO3F at its relaxed geometry, as listed in the Open Quantum Materials Database.

For the calculated total energy, the calculation gives -91.4 eV/cell.

Lattice parameters (Å, degrees): 4.4359 6.7244 6.8655 109.72 106.77 100.81
Space group P-1 (No. 2)
Symmetry-distinct sites (fractional):
Sm1 0.0273 0.1743 0.3036 (multiplicity 2)
Tc1 0.2581 0.3674 0.8599 (multiplicity 2)
O1 0.0061 0.4895 0.7094 (multiplicity 2)
O2 0.0527 0.1855 0.9623 (multiplicity 2)
O3 0.3485 0.1707 0.6467 (multiplicity 2)
F1 0.4695 0.8076 0.7064 (multiplicity 2)

---

No. 3
First-principles (GGA-PBE) data for crystalline Li2Hg2S3 at its relaxed geometry, as listed in the Open Quantum Materials Database.

The energy above the most stable polymorph in this dataset is 0.0000 eV per atom. For the calculated total energy, the calculation gives -78.5 eV/cell.

Lattice parameters (Å, degrees): 8.0846 8.0846 8.0846 90.00 90.00 90.00
Space group I2_13 (No. 199)
Symmetry-distinct sites (fractional):
Li1 0.0676 0.0676 0.0676 (multiplicity 8)
Hg1 0.1770 0.3230 0.6770 (multiplicity 8)
S1 0.0000 0.2500 0.3648 (multiplicity 12)

---

No. 4
First-principles (GGA-PBE) data for crystalline RbGdSO at its relaxed geometry, as listed in the Open Quantum Materials Database.

The energy above the most stable polymorph in this dataset is 0.1032 eV per atom. For the calculated total energy, the calculation gives -46.7 eV/cell.

Lattice parameters (Å, degrees): 3.7673 3.7673 14.3198 90.00 90.00 120.00
Space group P-6m2 (No. 187)
Symmetry-distinct sites (fractional):
Rb1 0.0000 0.0000 0.0000 (multiplicity 1)
Rb2 0.3333 0.6667 0.5000 (multiplicity 1)
Gd1 0.6667 0.3333 0.2803 (multiplicity 2)
S1 0.3333 0.6667 0.1658 (multiplicity 2)
O1 0.0000 0.0000 0.3545 (multiplicity 2)

---

No. 5
First-principles (GGA-PBE) data for crystalline KMgBiPt at its relaxed geometry, as listed in the Open Quantum Materials Database.

The energy above the most stable polymorph in this dataset is 0.1434 eV per atom. For the calculated total energy, the calculation gives -50.2 eV/cell.

Lattice parameters (Å, degrees): 7.3090 7.3090 7.3090 90.00 90.00 90.00
Space group F-43m (No. 216)
Symmetry-distinct sites (fractional):
K1 0.0000 0.0000 0.0000 (multiplicity 4)
Mg1 0.0000 0.0000 0.5000 (multiplicity 4)
Bi1 0.2500 0.2500 0.2500 (multiplicity 4)
Pt1 0.2500 0.2500 0.7500 (multiplicity 4)

---

No. 6
First-principles (GGA-PBE) data for crystalline Rb2LiCdF6 at its relaxed geometry, as listed in the Open Quantum Materials Database.

The energy above the most stable polymorph in this dataset is 0.0260 eV per atom. For the calculated total energy, the calculation gives -117.0 eV/cell.

Lattice parameters (Å, degrees): 5.7618 5.7618 14.1618 90.00 90.00 120.00
Space group R-3 (No. 148, hexagonal axes)
Symmetry-distinct sites (fractional):
Rb1 0.0000 0.0000 0.2501 (multiplicity 6)
Li1 0.0000 0.0000 0.0000 (multiplicity 3)
Cd1 0.0000 0.0000 0.5000 (multiplicity 3)
F1 0.0136 0.5059 0.7463 (multiplicity 18)